Compound: DyTlPtO6
Source: Alexandria
Functional: PBE
Structure: relaxed

The calculation puts the total DFT energy (no corrections) at -0.4360 Ry per atom. The value obtained for the spin magnetization is 0.0 μB per cell. The calculation puts the density of states at the Fermi level at 0.71 states/eV/atom.

The structure belongs to space group P-31c (No. 163); the cell edges are 5.6168, 5.6168 and 9.0061 Å and the angles 90.00°, 90.00° and 120.00°. Symmetry generates all atoms from Dy at (0.3333, 0.6667, 0.2500), Tl at (0.0000, 0.0000, 0.0000), Pt at (0.3333, 0.6667, 0.7500) and O at (0.0356, 0.3766, 0.6272).


Compound: Dy2PuO6
Source: Alexandria
Functional: PBE
Structure: relaxed

The calculation puts the total DFT energy (no corrections) at -0.6647 Ry per atom. The value obtained for the spin magnetization is 4.0 μB per cell. The calculation puts the density of states at the Fermi level at 0.82 states/eV/atom. The energy above the lowest structure with this stoichiometry is 0.8 kJ/mol of atoms.

The structure belongs to space group P4_2/mnm (No. 136); the cell edges are 5.090, 5.090 and 10.374 Å and the angles 90.00°, 90.00° and 90.00°. Symmetry generates all atoms from Dy at (0.000, 0.000, 0.166), Pu at (0.000, 0.000, 0.500), O at (0.185, 0.185, 0.346) and O at (0.209, 0.209, 0.000).


Compound: Dy2PuO8
Source: Alexandria
Functional: PBE
Structure: relaxed

The calculation puts the total DFT energy (no corrections) at -0.5922 Ry per atom. The value obtained for the spin magnetization is 4.0 μB per cell. The calculation puts the density of states at the Fermi level at 0.41 states/eV/atom.

The structure belongs to space group C2/m (No. 12); the cell edges are 9.808, 7.215 and 4.596 Å and the angles 90.00°, 109.84° and 90.00°. Symmetry generates all atoms from Dy at (0.165, 0.000, 0.372), Pu at (0.000, 0.500, 0.000), O at (0.085, 0.000, 0.804), O at (0.121, 0.500, 0.764) and O at (0.138, 0.311, 0.267).


Compound: DyPuO4
Source: Alexandria
Functional: PBE
Structure: relaxed

The calculation puts the total DFT energy (no corrections) at -0.7073 Ry per atom. The value obtained for the spin magnetization is 12.0 μB per cell. The calculation puts the density of states at the Fermi level at 0.98 states/eV/atom.

The structure belongs to space group I4_1/amd (No. 141, origin choice 2); the cell edges are 5.344, 5.344 and 10.656 Å and the angles 90.00°, 90.00° and 90.00°. Symmetry generates all atoms from Dy at (0.000, 0.250, 0.375), Pu at (0.000, 0.250, 0.875) and O at (0.238, 0.000, 0.000).


Compound: DyPu4O10
Source: Alexandria
Functional: PBE
Structure: relaxed

The calculation puts the total DFT energy (no corrections) at -0.7784 Ry per atom. The value obtained for the spin magnetization is 30.0 μB per cell. The calculation puts the density of states at the Fermi level at 0.91 states/eV/atom.

The structure belongs to space group I4/mmm (No. 139); the cell edges are 3.794, 3.794 and 26.824 Å and the angles 90.00°, 90.00° and 90.00°. Symmetry generates all atoms from Dy at (0.000, 0.000, 0.000), Pu at (0.000, 0.000, 0.200), Pu at (0.000, 0.000, 0.402), O at (0.000, 0.500, 0.052), O at (0.000, 0.500, 0.150) and O at (0.000, 0.500, 0.250).


Compound: DyPu2O7
Source: Alexandria
Functional: PBE
Structure: relaxed

The calculation puts the total DFT energy (no corrections) at -0.7079 Ry per atom. The value obtained for the spin magnetization is 15.0 μB per cell. The calculation puts the density of states at the Fermi level at 0.88 states/eV/atom.

The structure belongs to space group R-3m (No. 166, hexagonal axes); the cell edges are 3.8124, 3.8124 and 30.5108 Å and the angles 90.00°, 90.00° and 120.00°. Symmetry generates all atoms from Dy at (0.0000, 0.0000, 0.0000), Pu at (0.0000, 0.0000, 0.4325), O at (0.0000, 0.0000, 0.0774), O at (0.0000, 0.0000, 0.2198), O at (0.0000, 0.0000, 0.3620) and O at (0.0000, 0.0000, 0.5000).


Compound: DyPuO5
Source: Alexandria
Functional: PBE
Structure: relaxed

The calculation puts the total DFT energy (no corrections) at -0.6633 Ry per atom. The value obtained for the spin magnetization is 4.0 μB per cell.

The structure belongs to space group C2/c (No. 15); the cell edges are 9.236, 6.503 and 8.080 Å and the angles 90.00°, 116.01° and 90.00°. Symmetry generates all atoms from Dy at (0.000, 0.044, 0.250), Pu at (0.000, 0.500, 0.000), O at (0.000, 0.391, 0.250), O at (0.008, 0.198, 0.963) and O at (0.228, 0.487, 0.618).


Compound: DyPuO
Source: Alexandria
Functional: PBE
Structure: relaxed

The calculation puts the total DFT energy (no corrections) at -0.6872 Ry per atom. The value obtained for the spin magnetization is 9.0 μB per cell. The calculation puts the density of states at the Fermi level at 1.46 states/eV/atom. The energy above the lowest structure with this stoichiometry is 16.1 kJ/mol of atoms.

The structure belongs to space group C2/m (No. 12); the cell edges are 11.972, 3.553 and 6.420 Å and the angles 90.00°, 115.10° and 90.00°. Symmetry generates all atoms from Dy at (0.113, 0.000, 0.331), Pu at (0.183, 0.500, 0.908) and O at (0.226, 0.500, 0.314).


Compound: DyPu2O11
Source: Alexandria
Functional: PBE
Structure: relaxed

The calculation puts the total DFT energy (no corrections) at -0.6011 Ry per atom. The value obtained for the spin magnetization is 12.1 μB per cell. The calculation puts the density of states at the Fermi level at 0.43 states/eV/atom.

The structure belongs to space group Ima2 (No. 46); the cell edges are 10.528, 8.634 and 9.930 Å and the angles 90.00°, 90.00° and 90.00°. Symmetry generates all atoms from Dy at (0.000, 0.000, 0.000), Pu at (0.250, 0.201, 0.280), Pu at (0.250, 0.738, 0.240), O at (0.124, 0.127, 0.163), O at (0.125, 0.680, 0.626), O at (0.126, 0.206, 0.888), O at (0.126, 0.631, 0.342), O at (0.250, 0.107, 0.591), O at (0.250, 0.536, 0.066) and O at (0.250, 0.545, 0.847).


Compound: Dy2PuO6
Source: Alexandria
Functional: PBE
Structure: relaxed

The calculation puts the total DFT energy (no corrections) at -0.6653 Ry per atom. The value obtained for the spin magnetization is 4.0 μB per cell. The calculation puts the density of states at the Fermi level at 0.70 states/eV/atom. The energy above the lowest structure with this stoichiometry is 0.0 kJ/mol of atoms.

The structure belongs to space group Immm (No. 71); the cell edges are 3.848, 5.345 and 11.072 Å and the angles 90.00°, 90.00° and 90.00°. Symmetry generates all atoms from Dy at (0.000, 0.000, 0.166), Pu at (0.000, 0.000, 0.500), O at (0.000, 0.242, 0.344) and O at (0.000, 0.269, 0.000).


Compound: DyPuO
Source: Alexandria
Functional: PBE
Structure: relaxed

The calculation puts the total DFT energy (no corrections) at -0.6995 Ry per atom. The value obtained for the spin magnetization is 5.1 μB per cell. The calculation puts the density of states at the Fermi level at 2.21 states/eV/atom. The energy above the lowest structure with this stoichiometry is 0.0 kJ/mol of atoms.

The structure belongs to space group P3m1 (No. 156); the cell edges are 3.4602, 3.4602 and 6.0226 Å and the angles 90.00°, 90.00° and 120.00°. Symmetry generates all atoms from Dy at (0.0000, 0.0000, 0.0000), Pu at (0.3333, 0.6667, 0.4689) and O at (0.6667, 0.3333, 0.2256).


Compound: Rb4DyPu3O12
Source: Alexandria
Functional: PBE
Structure: relaxed

The calculation puts the total DFT energy (no corrections) at -0.5953 Ry per atom. The value obtained for the spin magnetization is 14.0 μB per cell. The calculation puts the density of states at the Fermi level at 0.47 states/eV/atom.

The structure belongs to space group Im-3m (No. 229); the cell edges are 8.640, 8.640 and 8.640 Å and the angles 90.00°, 90.00° and 90.00°. Symmetry generates all atoms from Rb at (0.250, 0.250, 0.250), Dy at (0.000, 0.000, 0.000), Pu at (0.000, 0.000, 0.500), O at (0.000, 0.000, 0.266) and O at (0.000, 0.250, 0.500).


Compound: DyPuS2O
Source: Alexandria
Functional: PBE
Structure: relaxed

The calculation puts the total DFT energy (no corrections) at -0.6435 Ry per atom. The value obtained for the spin magnetization is 9.5 μB per cell. The calculation puts the density of states at the Fermi level at 1.27 states/eV/atom.

The structure belongs to space group P4/nmm (No. 129, origin choice 2); the cell edges are 3.855, 3.855 and 13.745 Å and the angles 90.00°, 90.00° and 90.00°. Symmetry generates all atoms from Dy at (0.250, 0.250, 0.119), Pu at (0.250, 0.250, 0.591), S at (0.250, 0.250, 0.308), S at (0.250, 0.250, 0.907) and O at (0.250, 0.750, 0.500).


Compound: DyPuSbO2
Source: Alexandria
Functional: PBE
Structure: relaxed

The calculation puts the total DFT energy (no corrections) at -0.6667 Ry per atom. The value obtained for the spin magnetization is 9.1 μB per cell. The calculation puts the density of states at the Fermi level at 1.89 states/eV/atom.

The structure belongs to space group I4mm (No. 107); the cell edges are 3.880, 3.880 and 12.952 Å and the angles 90.00°, 90.00° and 90.00°. Symmetry generates all atoms from Dy at (0.000, 0.000, 0.000), Pu at (0.000, 0.000, 0.318), Sb at (0.000, 0.000, 0.662) and O at (0.000, 0.500, 0.412).


Compound: Dy2PuScO8
Source: Alexandria
Functional: PBE
Structure: relaxed

The calculation puts the total DFT energy (no corrections) at -0.6505 Ry per atom. The value obtained for the spin magnetization is 2.0 μB per cell.

The structure belongs to space group Cmmm (No. 65); the cell edges are 6.971, 7.237 and 6.824 Å and the angles 90.00°, 90.00° and 90.00°. Symmetry generates all atoms from Dy at (0.000, 0.000, 0.239), Pu at (0.000, 0.500, 0.500), Sc at (0.000, 0.500, 0.000), O at (0.000, 0.319, 0.270), O at (0.206, 0.000, 0.000) and O at (0.215, 0.000, 0.500).


Compound: DyPuSi2O8
Source: Alexandria
Functional: PBE
Structure: relaxed

The calculation puts the total DFT energy (no corrections) at -0.6397 Ry per atom. The value obtained for the spin magnetization is 6.0 μB per cell. The calculation puts the density of states at the Fermi level at 0.56 states/eV/atom.

The structure belongs to space group I-4m2 (No. 119); the cell edges are 6.943, 6.943 and 6.194 Å and the angles 90.00°, 90.00° and 90.00°. Symmetry generates all atoms from Dy at (0.000, 0.000, 0.000), Pu at (0.000, 0.500, 0.250), Si at (0.000, 0.000, 0.500), Si at (0.000, 0.500, 0.750), O at (0.000, 0.183, 0.331) and O at (0.000, 0.323, 0.925).


Compound: Sm2DyPuO8
Source: Alexandria
Functional: PBE
Structure: relaxed

The calculation puts the total DFT energy (no corrections) at -0.6392 Ry per atom. The value obtained for the spin magnetization is 1.0 μB per cell. The calculation puts the density of states at the Fermi level at 0.13 states/eV/atom.

The structure belongs to space group P-1 (No. 2); the cell edges are 3.961, 5.501 and 7.517 Å and the angles 88.44°, 89.58° and 84.21°. Symmetry generates all atoms from Sm at (0.001, 0.488, 0.260), Dy at (0.500, 0.000, 0.500), Pu at (0.500, 0.000, 0.000), O at (0.008, 0.248, 0.511), O at (0.068, 0.219, 0.003), O at (0.452, 0.782, 0.216) and O at (0.462, 0.755, 0.769).


Compound: SrDyPuO6
Source: Alexandria
Functional: PBE
Structure: relaxed

The calculation puts the total DFT energy (no corrections) at -0.6226 Ry per atom. The value obtained for the spin magnetization is 2.0 μB per cell.

The structure belongs to space group P-31c (No. 163); the cell edges are 5.8041, 5.8041 and 10.2166 Å and the angles 90.00°, 90.00° and 120.00°. Symmetry generates all atoms from Sr at (0.0000, 0.0000, 0.0000), Dy at (0.3333, 0.6667, 0.2500), Pu at (0.3333, 0.6667, 0.7500) and O at (0.0326, 0.3829, 0.6432).


Compound: TbDyPuO6
Source: Alexandria
Functional: PBE
Structure: relaxed

The calculation puts the total DFT energy (no corrections) at -0.6602 Ry per atom. The value obtained for the spin magnetization is 4.0 μB per cell. The calculation puts the density of states at the Fermi level at 0.80 states/eV/atom.

The structure belongs to space group P-31c (No. 163); the cell edges are 5.7323, 5.7323 and 9.4488 Å and the angles 90.00°, 90.00° and 120.00°. Symmetry generates all atoms from Tb at (0.0000, 0.0000, 0.0000), Dy at (0.3333, 0.6667, 0.2500), Pu at (0.3333, 0.6667, 0.7500) and O at (0.0261, 0.3576, 0.6337).